[1]
## SmGa5Ag (PBE-GGA)

Data for a relaxed SmGa5Ag crystal.

calculated formation energy: -185 kJ/mol of formula units
V: 20.4 A^3/atom

CIF file:
```
data_SmGa5Ag
_symmetry_space_group_name_H-M 'P 4/m m m'
_symmetry_Int_Tables_number 123
_symmetry_space_group_name_Hall '-P 4 2'
_cell_length_a 4.502
_cell_length_b 4.502
_cell_length_c 7.040
_cell_angle_alpha 90.00
_cell_angle_beta 90.00
_cell_angle_gamma 90.00
loop_
_atom_site_label
_atom_site_type_symbol
_atom_site_fract_x
_atom_site_fract_y
_atom_site_fract_z
Sm1 Sm 0.000 0.000 0.000
Ga1 Ga 0.000 0.500 0.290
Ga2 Ga 0.500 0.500 0.000
Ag1 Ag 0.000 0.000 0.500
```

[2]
## Sm4Ga2Ag5 (PBE-GGA)

Data for a relaxed Sm4Ga2Ag5 crystal.

calculated formation energy: -337 kJ/mol of formula units
V: 23.9 A^3/atom

CIF file:
```
data_Sm4Ga2Ag5
_symmetry_space_group_name_H-M 'P 1 2/m 1'
_symmetry_Int_Tables_number 10
_symmetry_space_group_name_Hall '-P 2y'
_cell_length_a 7.253
_cell_length_b 4.194
_cell_length_c 8.688
_cell_angle_alpha 90.00
_cell_angle_beta 94.86
_cell_angle_gamma 90.00
loop_
_atom_site_label
_atom_site_type_symbol
_atom_site_fract_x
_atom_site_fract_y
_atom_site_fract_z
Sm1 Sm 0.209 0.000 0.370
Sm2 Sm 0.242 0.000 0.915
Ga1 Ga 0.078 0.500 0.135
Ag1 Ag 0.149 0.500 0.635
Ag2 Ag 0.451 0.500 0.167
Ag3 Ag 0.500 0.500 0.500
```

[3]
## Sm3Ga2Ag4 (PBE-GGA)

Data for a relaxed Sm3Ga2Ag4 crystal.

calculated formation energy: -337 kJ/mol of formula units
V: 22.6 A^3/atom

CIF file:
```
data_Sm3Ga2Ag4
_symmetry_space_group_name_H-M 'C 1 2/m 1'
_symmetry_Int_Tables_number 12
_symmetry_space_group_name_Hall '-C 2y'
_cell_length_a 10.841
_cell_length_b 4.686
_cell_length_c 8.901
_cell_angle_alpha 90.00
_cell_angle_beta 115.77
_cell_angle_gamma 90.00
loop_
_atom_site_label
_atom_site_type_symbol
_atom_site_fract_x
_atom_site_fract_y
_atom_site_fract_z
Sm1 Sm 0.000 0.000 0.000
Sm2 Sm 0.159 0.500 0.673
Ga1 Ga 0.124 0.500 0.294
Ag1 Ag 0.076 0.000 0.403
Ag2 Ag 0.213 0.500 0.057
```

[4]
## Sm3Ga3Ag (PBE-GGA)

Data for a relaxed Sm3Ga3Ag crystal.

calculated formation energy: -369 kJ/mol of formula units
V: 24.2 A^3/atom

CIF file:
```
data_Sm3Ga3Ag
_symmetry_space_group_name_H-M 'C 1 2/m 1'
_symmetry_Int_Tables_number 12
_symmetry_space_group_name_Hall '-C 2y'
_cell_length_a 10.979
_cell_length_b 4.499
_cell_length_c 14.640
_cell_angle_alpha 90.00
_cell_angle_beta 110.56
_cell_angle_gamma 90.00
loop_
_atom_site_label
_atom_site_type_symbol
_atom_site_fract_x
_atom_site_fract_y
_atom_site_fract_z
Sm1 Sm 0.036 0.000 0.379
Sm2 Sm 0.106 0.000 0.925
Sm3 Sm 0.239 0.000 0.225
Ga1 Ga 0.028 0.500 0.227
Ga2 Ga 0.108 0.500 0.076
Ga3 Ga 0.124 0.500 0.545
Ag1 Ag 0.246 0.500 0.396
```

[5]
## Sm4Ga7Ag5 (PBE-GGA)

Data for a relaxed Sm4Ga7Ag5 crystal.

calculated formation energy: -751 kJ/mol of formula units
V: 20.4 A^3/atom

CIF file:
```
data_Sm4Ga7Ag5
_symmetry_space_group_name_H-M 'P 1 m 1'
_symmetry_Int_Tables_number 6
_symmetry_space_group_name_Hall 'P -2y'
_cell_length_a 7.126
_cell_length_b 4.438
_cell_length_c 10.333
_cell_angle_alpha 90.00
_cell_angle_beta 90.34
_cell_angle_gamma 90.00
loop_
_atom_site_label
_atom_site_type_symbol
_atom_site_fract_x
_atom_site_fract_y
_atom_site_fract_z
Sm1 Sm 0.000 0.000 0.000
Sm2 Sm 0.072 0.500 0.500
Sm3 Sm 0.493 0.000 0.841
Sm4 Sm 0.566 0.500 0.342
Ga1 Ga 0.079 0.000 0.706
Ga2 Ga 0.200 0.500 0.823
Ga3 Ga 0.367 0.000 0.519
Ga4 Ga 0.485 0.500 0.636
Ga5 Ga 0.583 0.000 0.135
Ga6 Ga 0.705 0.500 0.018
Ga7 Ga 0.863 0.000 0.325
Ag1 Ag 0.245 0.000 0.268
Ag2 Ag 0.329 0.500 0.071
Ag3 Ag 0.743 0.000 0.575
Ag4 Ag 0.821 0.500 0.767
Ag5 Ag 0.982 0.500 0.210
```

[6]
## Sm8GaAg2 (PBE-GGA)

Data for a relaxed Sm8GaAg2 crystal.

calculated formation energy: -182 kJ/mol of formula units
V: 29.4 A^3/atom

CIF file:
```
data_Sm8GaAg2
_symmetry_space_group_name_H-M 'C 1 2/m 1'
_symmetry_Int_Tables_number 12
_symmetry_space_group_name_Hall '-C 2y'
_cell_length_a 18.201
_cell_length_b 5.274
_cell_length_c 7.077
_cell_angle_alpha 90.00
_cell_angle_beta 107.79
_cell_angle_gamma 90.00
loop_
_atom_site_label
_atom_site_type_symbol
_atom_site_fract_x
_atom_site_fract_y
_atom_site_fract_z
Sm1 Sm 0.025 0.000 0.279
Sm2 Sm 0.091 0.500 0.958
Sm3 Sm 0.167 0.500 0.481
Sm4 Sm 0.197 0.000 0.817
Ga1 Ga 0.000 0.500 0.500
Ag1 Ag 0.180 0.000 0.220
```

[7]
## Sm2Ga5Ag5 (PBE-GGA)

Data for a relaxed Sm2Ga5Ag5 crystal.

calculated formation energy: -271 kJ/mol of formula units
V: 20.0 A^3/atom

CIF file:
```
data_Sm2Ga5Ag5
_symmetry_space_group_name_H-M 'P m m m'
_symmetry_Int_Tables_number 47
_symmetry_space_group_name_Hall '-P 2 2'
_cell_length_a 4.359
_cell_length_b 5.668
_cell_length_c 9.721
_cell_angle_alpha 90.00
_cell_angle_beta 90.00
_cell_angle_gamma 90.00
loop_
_atom_site_label
_atom_site_type_symbol
_atom_site_fract_x
_atom_site_fract_y
_atom_site_fract_z
Sm1 Sm 0.000 0.000 0.000
Sm2 Sm 0.000 0.500 0.500
Ga1 Ga 0.000 0.000 0.330
Ga2 Ga 0.000 0.500 0.166
Ga3 Ga 0.500 0.000 0.500
Ag1 Ag 0.500 0.251 0.256
Ag2 Ag 0.500 0.500 0.000
```

[8]
## SmGa3Ag (PBE-GGA)

Data for a relaxed SmGa3Ag crystal.

relative energy among the computed polymorphs: 0.0000 eV per atom
calculated formation energy: -222 kJ/mol of formula units
V: 19.9 A^3/atom

CIF file:
```
data_SmGa3Ag
_symmetry_space_group_name_H-M 'I -4 m 2'
_symmetry_Int_Tables_number 119
_symmetry_space_group_name_Hall 'I -4 -2'
_cell_length_a 4.246
_cell_length_b 4.246
_cell_length_c 11.025
_cell_angle_alpha 90.00
_cell_angle_beta 90.00
_cell_angle_gamma 90.00
loop_
_atom_site_label
_atom_site_type_symbol
_atom_site_fract_x
_atom_site_fract_y
_atom_site_fract_z
Sm1 Sm 0.000 0.000 0.000
Ga1 Ga 0.000 0.000 0.389
Ga2 Ga 0.000 0.500 0.250
Ag1 Ag 0.000 0.500 0.750
```